A relaxed CaBiPPb2 crystal. Source: Alexandria via LeMat-Bulk, functional PBE.

The structure in extended XYZ format:
```
5
Lattice="-3.044 -5.127 0.628 2.543 -2.022 -4.180 4.287 -2.102 3.625" Properties=species:S:1:pos:R:3 pbc="T T T"
Ca 1.893 -4.625 0.036
Bi 0.000 0.000 0.000
Pb -1.522 -2.563 0.314
Pb 2.144 -1.051 1.813
P 1.272 -1.011 -2.090
```

***

A relaxed Y4PPtSe2 crystal. Source: Alexandria via LeMat-Bulk, functional PBE.

The value obtained for the uncorrected formation energy is -1594 meV/atom.

The structure in extended XYZ format:
```
8
Lattice="-1.644 -1.315 3.442 -3.413 -5.146 -3.596 4.135 -5.774 -0.231" Properties=species:S:1:pos:R:3 pbc="T T T"
Se 4.135 -5.774 -0.231
Se 1.246 -3.544 1.605
Y 0.618 -8.126 -2.809
Y -2.248 -5.927 -0.974
Y -1.540 -4.109 2.424
Y 1.327 -6.308 0.588
P 0.361 -5.460 -1.914
Pt 1.607 -9.004 -0.308
```

***

A relaxed Pu3Si2Pd3 crystal. Source: Alexandria via LeMat-Bulk, functional PBE.

The value obtained for the uncorrected formation energy is -586 meV/atom.

The structure in extended XYZ format:
```
32
Lattice="-2.379 -0.048 5.079 6.504 -3.041 3.018 5.202 13.675 2.567" Properties=species:S:1:pos:R:3 pbc="T T T"
Pu 6.003 10.505 8.312
Pu 7.446 2.357 5.813
Pu 3.330 12.037 5.565
Pu 4.554 6.697 7.597
Pu 4.774 3.889 3.067
Pu 3.325 0.081 2.352
Pu 4.749 9.737 2.975
Pu 7.317 8.202 5.945
Pu 4.578 0.849 7.689
Pu 5.998 -1.452 5.098
Pu 2.010 2.383 4.719
Pu 1.882 8.229 4.850
Pd 3.440 -2.119 7.166
Pd 3.632 6.774 2.384
Pd 5.696 3.811 8.279
Pd 6.170 5.239 5.418
Pd 4.532 9.268 5.912
Pd 3.158 5.346 5.246
Pd 0.902 -0.584 4.133
Pd 5.887 12.704 3.497
Pd 4.796 1.318 4.752
Pd 7.059 7.733 8.970
Pd 8.426 11.169 6.531
Pd 2.269 2.853 1.694
Si 6.263 11.063 5.258
Si 10.030 9.553 5.668
Si 0.801 4.983 5.738
Si 4.567 3.473 6.148
Si 4.760 7.112 4.516
Si 8.527 5.602 4.926
Si 3.064 -0.478 5.406
Si -0.702 1.033 4.996
```

***

A relaxed K2CdAu crystal. Source: Alexandria via LeMat-Bulk, functional PBE.

The structure in extended XYZ format:
```
4
Lattice="-2.032 3.261 -1.750 -1.168 -2.340 -3.004 -8.079 -4.359 1.258" Properties=species:S:1:pos:R:3 pbc="T T T"
K -1.357 -2.396 -2.889
K -4.434 -3.293 -0.988
Cd -7.951 -3.394 -2.184
Au -3.328 -0.044 -1.311
```

***

A relaxed TiMoPb3 crystal. Source: Alexandria via LeMat-Bulk, functional PBE.

The structure in extended XYZ format:
```
5
Lattice="-2.935 0.560 -4.476 1.237 -5.036 -1.441 -4.338 -1.815 2.618" Properties=species:S:1:pos:R:3 pbc="T T T"
Pb 0.619 -2.518 -0.721
Pb -2.169 -0.908 1.309
Pb -1.468 0.280 -2.238
Ti 0.000 0.000 0.000
Mo -3.018 -3.146 -1.650
```

***

A relaxed Cs2BaHg7Au2 crystal. Source: Alexandria via LeMat-Bulk, functional PBE.

The structure in extended XYZ format:
```
12
Lattice="4.974 0.006 0.135 0.012 4.974 0.135 2.856 2.852 16.863" Properties=species:S:1:pos:R:3 pbc="T T T"
Au 5.446 5.440 12.661
Au 2.395 2.392 4.471
Cs 2.987 2.984 11.188
Cs 4.854 4.848 5.944
Hg 2.346 2.344 7.449
Hg 4.924 2.427 2.801
Hg 2.917 5.404 14.331
Hg 2.493 2.490 0.135
Hg 5.408 2.910 14.331
Hg 2.433 4.922 2.801
Hg 5.495 5.488 9.682
Ba 0.000 0.000 0.000
```

***

DOS(E_F)
In order: 4.56; 5.66; 115.32; 1.10; 3.73; 5.60
Unit: states/eV/cell
Final energy
In order: -3.232; -7.129; -9.264; -1.757; -4.898; -1.306
Unit: eV per atom